First-principles (PBE) data for a geometry-optimized ThMg structure, as listed in OQMD.

Lattice parameters (Å, degrees): 6.1687 6.6911 5.5079 90.00 90.00 90.00
Closest atoms and distances in Å follow each position.
Atoms (fractional coordinates):
Mg 0.0010 0.0067 0.0000  7 Th 3.28-3.42, 4 Mg 3.43-3.47
Mg 0.5010 0.2433 0.0000  7 Th 3.28-3.42, 4 Mg 3.43-3.47
Mg 0.3323 0.5067 0.5000  7 Th 3.28-3.42, 4 Mg 3.43-3.47
Mg 0.8323 0.7433 0.5000  7 Th 3.28-3.42, 4 Mg 3.43-3.47
Th 0.0434 0.5122 0.0000  7 Mg 3.28-3.42, 4 Th 3.43-3.66
Th 0.5434 0.7378 0.0000  7 Mg 3.28-3.42, 4 Th 3.43-3.66
Th 0.2899 0.0122 0.5000  7 Mg 3.28-3.42, 4 Th 3.43-3.66
Th 0.7899 0.2378 0.5000  7 Mg 3.28-3.42, 4 Th 3.43-3.66

## Properties
The crystal system is orthorhombic. Its space group is No. 62. The value obtained for the uncorrected energy is -34.9 eV/cell.

First-principles (PBE) data for a geometry-optimized HfNbPO structure, as listed in OQMD.

Lattice parameters (Å, degrees): 3.7404 5.4213 6.1606 90.00 90.00 90.00
Closest atoms and distances in Å follow each position.
Atoms (fractional coordinates):
Hf 0.0000 0.3968 0.0945  2 O 2.16-2.19
Hf 0.0000 0.6032 0.5945  2 O 2.16-2.19
Nb 0.5000 0.1009 0.4365  2 O 2.04
Nb 0.5000 0.8991 0.9365  2 O 2.04
O 0.0000 0.2508 0.4198  2 Nb 2.04, 2 Hf 2.16-2.19
O 0.0000 0.7492 0.9198  2 Nb 2.04, 2 Hf 2.16-2.19
P 0.5000 0.6731 0.3032  2 Nb 2.46-2.57, 4 Hf 2.62-2.72
P 0.5000 0.3269 0.8032  2 Nb 2.46-2.57, 4 Hf 2.62-2.72

## Properties
Its energy above the lowest structure with this stoichiometry is 141.6 meV/atom. The crystal system is orthorhombic. Its space group is No. 26.

First-principles (PBE) data for a geometry-optimized ScTaNO structure, as listed in OQMD.

Lattice parameters (Å, degrees): 5.5044 6.9340 5.5787 90.00 90.00 90.00
Closest atoms and distances in Å follow each position.
Atoms (fractional coordinates):
N 0.8987 0.3317 0.1717  3 Ta 2.03-2.15, 1 Sc 2.08
N 0.3987 0.6683 0.1717  3 Ta 2.03-2.15, 1 Sc 2.08
N 0.6013 0.3317 0.6717  3 Ta 2.03-2.15, 1 Sc 2.08
N 0.1013 0.6683 0.6717  3 Ta 2.03-2.15, 1 Sc 2.08
O 0.4269 0.1075 0.0720  3 Sc 2.04-2.11
O 0.9269 0.8925 0.0720  3 Sc 2.04-2.11
O 0.0731 0.1075 0.5720  3 Sc 2.04-2.11
O 0.5731 0.8925 0.5720  3 Sc 2.04-2.11
Sc 0.4159 0.1488 0.4404  3 O 2.04-2.11, 1 N 2.08
Sc 0.9159 0.8512 0.4404  3 O 2.04-2.11, 1 N 2.08
Sc 0.0841 0.1488 0.9404  3 O 2.04-2.11, 1 N 2.08
Sc 0.5841 0.8512 0.9404  3 O 2.04-2.11, 1 N 2.08
Ta 0.5740 0.4200 0.0183  3 N 2.03-2.15
Ta 0.0740 0.5800 0.0183  3 N 2.03-2.15
Ta 0.9260 0.4200 0.5183  3 N 2.03-2.15
Ta 0.4260 0.5800 0.5183  3 N 2.03-2.15

## Properties
Its energy above the lowest structure with this stoichiometry is 0.0 meV/atom. The crystal system is orthorhombic. Its space group is No. 29.

First-principles (PBE) data for a geometry-optimized ScBAu structure, as listed in OQMD.

Lattice parameters (Å, degrees): 4.2743 4.2743 4.2743 60.00 60.00 60.00
Closest atoms and distances in Å follow each position.
Atoms (fractional coordinates):
Au 0.2500 0.2500 0.2500  4 Sc 2.62
B 0.7500 0.7500 0.7500  4 Sc 2.62
Sc 0.0000 0.0000 0.0000  4 Au 2.62, 4 B 2.62

## Properties
Its energy above the lowest structure with this stoichiometry is 277.6 meV/atom. The crystal system is cubic. Its space group is No. 216.

First-principles (PBE) data for a geometry-optimized KZn2BCl2O3 structure, as listed in OQMD.

Lattice parameters (Å, degrees): 9.1176 9.1176 9.1176 31.69 31.69 31.69
Closest atoms and distances in Å follow each position.
Atoms (fractional coordinates):
B 0.0000 0.0000 0.0000  3 O 1.38
Cl 0.2178 0.2178 0.2178  1 Zn 2.26
Cl 0.7822 0.7822 0.7822  1 Zn 2.26
K 0.5000 0.5000 0.5000  6 Cl 3.17
O 0.7231 0.2769 0.0000  1 B 1.38
O 0.0000 0.7231 0.2769  1 B 1.38
O 0.2769 0.0000 0.7231  1 B 1.38
Zn 0.3048 0.3048 0.3048  3 O 1.96
Zn 0.6952 0.6952 0.6952  3 O 1.96

## Properties
The crystal system is trigonal. Its space group is No. 155. The value obtained for the uncorrected energy is -45.5 eV/cell.

First-principles (PBE) data for a geometry-optimized ErAuS2 structure, as listed in OQMD.

Lattice parameters (Å, degrees): 4.0586 4.0586 6.3674 90.00 90.00 120.00
Closest atoms and distances in Å follow each position.
Atoms (fractional coordinates):
Au 0.0000 0.0000 0.5913  4 S 2.44-2.58
Er 0.6667 0.3333 0.9959  6 S 2.71-2.78
S 0.0000 0.0000 0.2083  1 Au 2.44, 3 Er 2.71
S 0.3333 0.6667 0.7618  3 Au 2.58, 3 Er 2.78

## Properties
The crystal system is trigonal. Its space group is No. 156. The value obtained for the uncorrected energy is -20.8 eV/cell.

First-principles (PBE) data for a geometry-optimized RbSn2Au2 structure, as listed in OQMD.

Lattice parameters (Å, degrees): 6.7638 6.7638 6.7638 137.06 137.06 62.35
Closest atoms and distances in Å follow each position.
Atoms (fractional coordinates):
Au 0.7500 0.2500 0.5000  4 Sn 2.80
Au 0.2500 0.7500 0.5000  4 Sn 2.80
Rb 0.0000 0.0000 0.0000  8 Au 3.81, 10 Sn 3.85-4.20
Sn 0.3626 0.3626 0.0000  4 Au 2.80
Sn 0.6374 0.6374 0.0000  4 Au 2.80

## Properties
Its energy above the lowest structure with this stoichiometry is 0.0 meV/atom. The crystal system is tetragonal. Its space group is No. 139.

First-principles (PBE) data for a geometry-optimized DyHfIr structure, as listed in OQMD.

Lattice parameters (Å, degrees): 4.5910 4.5910 4.5910 60.00 60.00 60.00
Closest atoms and distances in Å follow each position.
Atoms (fractional coordinates):
Dy 0.0000 0.0000 0.0000  4 Hf 2.81, 4 Ir 2.81
Hf 0.2500 0.2500 0.2500  4 Dy 2.81
Ir 0.7500 0.7500 0.7500  4 Dy 2.81

## Properties
The crystal system is cubic. For the formation energy, the calculation gives 542 meV/atom. Its space group is No. 216.